Entry 1:
The following is a DFT calculation (PBE) of a relaxed structure of Rb2YMg3F12.

a b c (Å): 7.558 7.558 7.558
angles (deg): 59.71 59.71 59.71
Fractional positions:
1 Rb 0.119 0.119 0.119
2 Rb 0.881 0.881 0.881
3 Y 0.500 0.500 0.500
4 Mg 0.000 0.500 0.500
5 Mg 0.500 0.000 0.500
6 Mg 0.500 0.500 0.000
7 F 0.149 0.586 0.586
8 F 0.194 0.194 0.576
9 F 0.194 0.576 0.194
10 F 0.414 0.414 0.851
11 F 0.414 0.851 0.414
12 F 0.424 0.806 0.806
13 F 0.576 0.194 0.194
14 F 0.586 0.149 0.586
15 F 0.586 0.586 0.149
16 F 0.806 0.424 0.806
17 F 0.806 0.806 0.424
18 F 0.851 0.414 0.414

Uncorrected formation energy (meV/atom): -3281
SG: R-3m
Total DFT energy (no corrections) (eV per formula unit): -94.71


Entry 2:
The following is a DFT calculation (PBE) of a relaxed structure of RbMg2ZnF8.

a b c (Å): 4.752 4.836 8.091
angles (deg): 94.96 90.21 92.58
Fractional positions:
1 Rb 0.000 0.000 0.000
2 Mg 0.490 0.527 0.680
3 Mg 0.510 0.473 0.320
4 Zn 0.000 0.000 0.500
5 F 0.200 0.185 0.323
6 F 0.202 0.230 0.690
7 F 0.306 0.695 0.496
8 F 0.478 0.670 0.911
9 F 0.522 0.330 0.089
10 F 0.694 0.305 0.504
11 F 0.798 0.770 0.310
12 F 0.800 0.815 0.677

Uncorrected formation energy (meV/atom): -2732
SG: P-1
Total DFT energy (no corrections) (eV per formula unit): -53.18


Entry 3:
The following is a DFT calculation (PBE) of a relaxed structure of Rb3Mg2ZnF9.

a b c (Å): 5.855 5.855 7.183
angles (deg): 90.00 90.00 120.00
Fractional positions:
1 Rb 0.000 0.000 0.000
2 Rb 0.333 0.667 0.665
3 Rb 0.667 0.333 0.335
4 Mg 0.333 0.667 0.162
5 Mg 0.667 0.333 0.838
6 Zn 0.000 0.000 0.500
7 F 0.000 0.500 0.000
8 F 0.168 0.337 0.331
9 F 0.168 0.832 0.331
10 F 0.337 0.168 0.669
11 F 0.500 0.000 0.000
12 F 0.500 0.500 0.000
13 F 0.663 0.832 0.331
14 F 0.832 0.168 0.669
15 F 0.832 0.663 0.669

Uncorrected formation energy (meV/atom): -3018
SG: P-3m1
Total DFT energy (no corrections) (eV per formula unit): -69.47